4
Lattice="-3.298 0.621 0.682 -0.504 -3.335 0.597 1.618 0.994 6.919" Properties=species:S:1:pos:R:3 comment="AlSbSe2 | the Alexandria database | PBE | optimized geometry" formation_energy_uncorrected_ev_per_atom=0.03 e_above_lowest_polymorph_mev_per_atom=521 total_energy_ev_per_atom=-3.68 spacegroup="P4/mmm (123)" pbc="T T T"
Sb -0.688 -0.611 5.829
Se 0.053 0.033 0.229
Se 0.756 0.464 3.231
Al -1.497 -1.108 2.369